# 1
# BIrCl2

A crystal of BIrCl2 relaxed with PBEsol (SCAN, Alexandria).

Calculated values
Its uncorrected formation energy is 1.1248 eV per atom. The value obtained for the uncorrected energy is -89.99 eV for the cell shown. The symmetry is R-3m, No. 166. The magnetization is 0.00 μB/cell. Its relative energy among the computed polymorphs is 0.2055 eV per atom.

Lattice parameters (Å, degrees): 2.9672 2.9672 7.6261 78.78 78.78 60.00
Fractional coordinates of all 4 atoms:
B (0.5000, 0.5000, 0.5000)
Ir (0.0000, 0.0000, 0.0000)
Cl (0.8976, 0.8976, 0.3071)
Cl (0.1024, 0.1024, 0.6929)



# 2
# B2IrCl

A crystal of B2IrCl relaxed with PBEsol (SCAN, Alexandria).

Calculated values
Its uncorrected formation energy is 2.0545 eV per atom. The value obtained for the uncorrected energy is -85.72 eV for the cell shown. The symmetry is Fm-3m, No. 225. The magnetization is 0.01 μB/cell.

Lattice parameters (Å, degrees): 3.9635 3.9635 3.9635 60.00 60.00 60.00
Fractional coordinates of all 4 atoms:
Cl (0.0000, 0.0000, 0.0000)
B (0.2500, 0.2500, 0.2500)
B (0.7500, 0.7500, 0.7500)
Ir (0.5000, 0.5000, 0.5000)



# 3
# BPIrCl2

A crystal of BPIrCl2 relaxed with PBEsol (SCAN, Alexandria).

Calculated values
Its uncorrected formation energy is 1.0869 eV per atom. The value obtained for the uncorrected energy is -99.45 eV for the cell shown. The symmetry is P4/mmm, No. 123. The magnetization is 0.00 μB/cell.

Lattice parameters (Å, degrees): 4.3935 4.9186 4.9186 90.00 90.00 90.00
Fractional coordinates of all 5 atoms:
P (0.5000, 0.0000, 0.0000)
B (0.5000, 0.5000, 0.5000)
Ir (0.0000, 0.0000, 0.0000)
Cl (0.0000, 0.0000, 0.5000)
Cl (0.0000, 0.5000, 0.0000)



# 4
# K2BCl

A crystal of K2BCl relaxed with PBEsol (SCAN, Alexandria).

Calculated values
Its uncorrected formation energy is 0.0430 eV per atom. The value obtained for the uncorrected energy is -31.89 eV for the cell shown. The symmetry is Fm-3m, No. 225. The magnetization is 2.00 μB/cell.

Lattice parameters (Å, degrees): 5.3307 5.3307 5.3307 60.00 60.00 60.00
Fractional coordinates of all 4 atoms:
K (0.2500, 0.2500, 0.2500)
K (0.7500, 0.7500, 0.7500)
B (0.0000, 0.0000, 0.0000)
Cl (0.5000, 0.5000, 0.5000)



# 5
# KNiB2Cl

A crystal of KNiB2Cl relaxed with PBEsol (SCAN, Alexandria).

Calculated values
Its uncorrected formation energy is 0.2143 eV per atom. The value obtained for the uncorrected energy is -46.27 eV for the cell shown. The symmetry is P4/mmm, No. 123. The magnetization is 0.00 μB/cell.

Lattice parameters (Å, degrees): 3.8635 3.8635 6.2649 90.00 90.00 90.00
Fractional coordinates of all 5 atoms:
Ni (0.0000, 0.0000, 0.0000)
K (0.0000, 0.0000, 0.5000)
B (0.0000, 0.5000, 0.0000)
B (0.5000, 0.0000, 0.0000)
Cl (0.5000, 0.5000, 0.5000)



# 6
# KBPCl2

A crystal of KBPCl2 relaxed with PBEsol (SCAN, Alexandria).

Calculated values
Its uncorrected formation energy is -0.2598 eV per atom. The value obtained for the uncorrected energy is -43.41 eV for the cell shown. The symmetry is P4/mmm, No. 123. The magnetization is 0.00 μB/cell.

Lattice parameters (Å, degrees): 3.5779 5.3444 5.3444 90.00 90.00 90.00
Fractional coordinates of all 5 atoms:
P (0.5000, 0.0000, 0.0000)
K (0.5000, 0.5000, 0.5000)
B (0.0000, 0.0000, 0.0000)
Cl (0.0000, 0.0000, 0.5000)
Cl (0.0000, 0.5000, 0.0000)